Compound: Na3Nd2MnS6
Source: the Alexandria database
Functional: PBE-GGA
Structure: relaxed

Summary:
- D(E_F) (states/eV per cell) = 2.4
- VASP energy (eV/f.u.) = -64.26
- spin magnetization (μB/atom) = 0.33
- theoretical density (g/cm³) = 3.66

a b c (Å): 6.8987 6.8987 7.0610
angles (deg): 99.16 99.16 120.41
Last column: nearest neighbours and their distance in Å.
Fractional positions:
S 0.0794 0.3895 0.2312  1 Mn 2.65, 2 Nd 2.81-2.83, 2 Na 2.86
Nd 0.6691 0.3309 0.0000  6 S 2.81-2.86
Na 0.1669 0.8331 0.5000  6 S 2.86-3.04
S 0.2187 0.2187 0.7915  1 Mn 2.41
S 0.3895 0.0794 0.2312  1 Mn 2.65, 2 Nd 2.81-2.83, 2 Na 2.86
Nd 0.3309 0.6691 0.0000  6 S 2.81-2.86
S 0.6105 0.9206 0.7688  1 Mn 2.65, 2 Nd 2.81-2.83, 2 Na 2.86
S 0.7813 0.7813 0.2085  1 Mn 2.41
Mn 0.0000 0.0000 0.0000  6 S 2.41-2.65
Na 0.8331 0.1669 0.5000  6 S 2.86-3.04
Na 0.5000 0.5000 0.5000  4 S 2.86
S 0.9206 0.6105 0.7688  1 Mn 2.65, 2 Nd 2.81-2.83, 2 Na 2.86

Compound: Na2NdMnSe4
Source: the Alexandria database
Functional: PBE-GGA
Structure: relaxed

Summary:
- D(E_F) (states/eV per cell) = 1.8
- VASP energy (eV/f.u.) = -39.55
- spin magnetization (μB/atom) = 0.50
- theoretical density (g/cm³) = 4.65

a b c (Å): 4.0983 6.9655 7.3973
angles (deg): 108.55 90.00 90.00
Last column: nearest neighbours and their distance in Å.
Fractional positions:
Se 0.0000 0.2831 0.7817  2 Mn 2.75, 1 Nd 2.92, 1 Na 2.94
Na 0.0000 0.5000 0.5000  6 Se 2.94-2.96
Mn 0.5000 0.5000 0.0000  6 Se 2.61-2.75
Nd 0.0000 0.0000 0.0000  6 Se 2.92-2.94
Na 0.5000 0.0000 0.5000  6 Se 3.13-3.22
Se 0.0000 0.7169 0.2183  2 Mn 2.75, 1 Nd 2.92, 1 Na 2.94
Se 0.5000 0.7239 0.7759  1 Mn 2.61
Se 0.5000 0.2761 0.2241  1 Mn 2.61

Compound: Na3NdMn2Se6
Source: the Alexandria database
Functional: PBE-GGA
Structure: relaxed

Summary:
- D(E_F) (states/eV per cell) = 5.0
- VASP energy (eV/f.u.) = -59.88
- spin magnetization (μB/atom) = 0.67
- theoretical density (g/cm³) = 4.63

a b c (Å): 6.8419 6.8419 7.4310
angles (deg): 98.97 98.97 120.16
Last column: nearest neighbours and their distance in Å.
Fractional positions:
Se 0.0744 0.4428 0.2140  2 Mn 2.63-2.64, 1 Na 2.92, 1 Nd 2.94
Nd 0.0000 0.0000 0.0000  6 Se 2.94
Se 0.7047 0.7047 0.2151  2 Mn 2.66, 1 Na 2.88, 1 Nd 2.94
Mn 0.6674 0.3326 0.0000  6 Se 2.63-2.66
Se 0.5572 0.9256 0.7860  2 Mn 2.63-2.64, 1 Na 2.92, 1 Nd 2.94
Se 0.4428 0.0744 0.2140  2 Mn 2.63-2.64, 1 Na 2.92, 1 Nd 2.94
Na 0.1590 0.8410 0.5000  6 Se 2.92-3.17
Se 0.9256 0.5572 0.7860  2 Mn 2.63-2.64, 1 Na 2.92, 1 Nd 2.94
Na 0.5000 0.5000 0.5000  6 Se 2.88-3.13
Se 0.2953 0.2953 0.7849  2 Mn 2.66, 1 Na 2.88, 1 Nd 2.94
Mn 0.3326 0.6674 0.0000  6 Se 2.63-2.66
Na 0.8410 0.1590 0.5000  6 Se 2.92-3.17

Compound: Na3Nd3MnTe8
Source: the Alexandria database
Functional: PBE-GGA
Structure: relaxed

Summary:
- D(E_F) (states/eV per cell) = 1.9
- VASP energy (eV/f.u.) = -67.91
- spin magnetization (μB/atom) = 0.20
- theoretical density (g/cm³) = 5.01

a b c (Å): 8.8793 8.8795 9.2211
angles (deg): 118.81 89.98 120.02
Last column: nearest neighbours and their distance in Å.
Fractional positions:
Nd 0.5000 0.0000 0.5000  6 Te 3.16-3.19
Te 0.7803 0.0028 0.2832  1 Mn 2.81
Na 0.0000 0.5000 0.0000  6 Te 3.24-3.26
Te 0.7470 0.4940 0.7409  3 Nd 3.16, 3 Na 3.24
Te 0.7776 0.9972 0.7168  1 Mn 2.81
Nd 0.5000 0.5000 0.5000  6 Te 3.16-3.19
Na 0.5000 0.5000 0.0000  6 Te 3.24-3.26
Te 0.2197 0.4394 0.7168  1 Mn 2.81
Nd 0.0000 0.5000 0.5000  6 Te 3.16-3.19
Mn 0.0000 0.0000 0.5000  6 Te 2.81
Te 0.2530 0.5060 0.2591  3 Nd 3.16, 3 Na 3.24
Te 0.7803 0.5606 0.2832  1 Mn 2.81
Te 0.2197 0.9972 0.7168  1 Mn 2.81
Te 0.2224 0.0028 0.2832  1 Mn 2.81
Na 0.0000 0.0000 0.0000  6 Te 3.24-3.26

Compound: Na2NdMnTe4
Source: the Alexandria database
Functional: PBE-GGA
Structure: relaxed

Summary:
- D(E_F) (states/eV per cell) = 2.8
- VASP energy (eV/f.u.) = -35.75
- spin magnetization (μB/atom) = 0.51
- theoretical density (g/cm³) = 5.08

a b c (Å): 4.3489 7.4924 7.9815
angles (deg): 108.15 90.00 90.00
Last column: nearest neighbours and their distance in Å.
Fractional positions:
Mn 0.0000 0.0000 0.0000  6 Te 2.87-2.93
Nd 0.5000 0.5000 0.0000  6 Te 3.14
Na 0.0000 0.5000 0.5000  6 Te 3.38-3.40
Na 0.5000 0.0000 0.5000  6 Te 3.16-3.17
Te 0.5000 0.7853 0.7834  2 Mn 2.93, 1 Nd 3.14, 1 Na 3.16
Te 0.0000 0.2285 0.7713  1 Mn 2.87, 2 Nd 3.14, 2 Na 3.17
Te 0.5000 0.2147 0.2166  2 Mn 2.93, 1 Nd 3.14, 1 Na 3.16
Te 0.0000 0.7715 0.2287  1 Mn 2.87, 2 Nd 3.14, 2 Na 3.17

Compound: NaMn3Ni
Source: the Alexandria database
Functional: PBE-GGA
Structure: relaxed

Summary:
- D(E_F) (states/eV per cell) = 3.7
- energy of formation from the pure elements (eV/atom) = 0.719
- spin magnetization (μB/atom) = 2.61
- theoretical density (g/cm³) = 4.02

a b c (Å): 4.6703 4.6703 4.6703
angles (deg): 90.00 90.00 90.00
Last column: nearest neighbours and their distance in Å.
Fractional positions:
Mn 0.0000 0.0000 0.5000  2 Ni 2.34
Mn 0.0000 0.5000 0.0000  2 Ni 2.34
Ni 0.0000 0.0000 0.0000  6 Mn 2.34
Na 0.5000 0.5000 0.5000  12 Mn 3.30
Mn 0.5000 0.0000 0.0000  2 Ni 2.34

Compound: NaMn3Ni
Source: the Alexandria database
Functional: PBE-GGA
Structure: relaxed

Summary:
- D(E_F) (states/eV per cell) = 6.8
- energy of formation from the pure elements (eV/atom) = 1.941
- spin magnetization (μB/atom) = 2.44
- theoretical density (g/cm³) = 4.23

a b c (Å): 4.5926 4.5926 4.5926
angles (deg): 90.00 90.00 90.00
Last column: nearest neighbours and their distance in Å.
Fractional positions:
Mn 0.0000 0.0000 0.5000  2 Na 2.30
Ni 0.5000 0.5000 0.5000  12 Mn 3.25
Mn 0.5000 0.0000 0.0000  2 Na 2.30
Mn 0.0000 0.5000 0.0000  2 Na 2.30
Na 0.0000 0.0000 0.0000  6 Mn 2.30

Compound: Na3MnNi
Source: the Alexandria database
Functional: PBE-GGA
Structure: relaxed

Summary:
- D(E_F) (states/eV per cell) = 4.2
- energy of formation from the pure elements (eV/atom) = 0.915
- spin magnetization (μB/atom) = 0.92
- theoretical density (g/cm³) = 2.08

a b c (Å): 5.2622 5.2622 5.2622
angles (deg): 90.00 90.00 90.00
Last column: nearest neighbours and their distance in Å.
Fractional positions:
Ni 0.0000 0.0000 0.0000  6 Na 2.63
Na 0.5000 0.0000 0.0000  2 Ni 2.63
Na 0.0000 0.0000 0.5000  2 Ni 2.63
Mn 0.5000 0.5000 0.5000  12 Na 3.72
Na 0.0000 0.5000 0.0000  2 Ni 2.63

Compound: NaMnNi3
Source: the Alexandria database
Functional: PBE-GGA
Structure: relaxed

Summary:
- D(E_F) (states/eV per cell) = 6.0
- energy of formation from the pure elements (eV/atom) = 0.874
- spin magnetization (μB/atom) = 0.83
- theoretical density (g/cm³) = 4.94

a b c (Å): 4.4045 4.4045 4.4045
angles (deg): 90.00 90.00 90.00
Last column: nearest neighbours and their distance in Å.
Fractional positions:
Ni 0.0000 0.5000 0.0000  2 Mn 2.20
Ni 0.0000 0.0000 0.5000  2 Mn 2.20
Na 0.5000 0.5000 0.5000  12 Ni 3.11
Mn 0.0000 0.0000 0.0000  6 Ni 2.20
Ni 0.5000 0.0000 0.0000  2 Mn 2.20